No. 1
# TbAlW

A geometry-optimized TbAlW structure (PBE, OQMD via LeMat-Bulk).

Output
The value obtained for the electronic total energy is -77.03 eV per cell. The crystal system is cubic.

CIF file:
```
data_TbAlW
_symmetry_space_group_name_H-M 'F -4 3 m'
_symmetry_Int_Tables_number 216
_symmetry_space_group_name_Hall 'F -4 2 3'
_cell_length_a 6.465
_cell_length_b 6.465
_cell_length_c 6.465
_cell_angle_alpha 90.00
_cell_angle_beta 90.00
_cell_angle_gamma 90.00
loop_
_atom_site_label
_atom_site_type_symbol
_atom_site_fract_x
_atom_site_fract_y
_atom_site_fract_z
Tb1 Tb 0.000 0.000 0.000
Al1 Al 0.250 0.250 0.250
W1 W 0.000 0.000 0.500
```

---

No. 2
# Dy2Er2Lu3Ni2Te2

A geometry-optimized Dy2Er2Lu3Ni2Te2 structure (PBE, OQMD via LeMat-Bulk).

Output
The value obtained for the electronic total energy is -113.30 eV per cell. The crystal system is orthorhombic. The energy above the most stable polymorph in this dataset is 10 meV/atom.

CIF file:
```
data_Dy2Er2Lu3Ni2Te2
_symmetry_space_group_name_H-M 'I m m 2'
_symmetry_Int_Tables_number 44
_cell_length_a 3.804
_cell_length_b 15.412
_cell_length_c 9.508
_cell_angle_alpha 90.00
_cell_angle_beta 90.00
_cell_angle_gamma 90.00
loop_
_symmetry_equiv_pos_as_xyz
'x,y,z'
'-x,-y,z'
'-x,y,z'
'x,-y,z'
'x+1/2,y+1/2,z+1/2'
'-x+1/2,-y+1/2,z+1/2'
'-x+1/2,y+1/2,z+1/2'
'x+1/2,-y+1/2,z+1/2'
loop_
_atom_site_label
_atom_site_type_symbol
_atom_site_fract_x
_atom_site_fract_y
_atom_site_fract_z
Dy1 Dy 0.000 0.134 0.000
Er1 Er 0.000 0.315 0.797
Lu1 Lu 0.000 0.000 0.420
Lu2 Lu 0.000 0.354 0.146
Ni1 Ni 0.000 0.234 0.490
Te1 Te 0.000 0.000 0.754
Te2 Te 0.000 0.500 0.656
```

---

No. 3
# CsZnPt

A geometry-optimized CsZnPt structure (PBE, OQMD via LeMat-Bulk).

Output
The value obtained for the electronic total energy is -27.52 eV per cell. The crystal system is cubic.

CIF file:
```
data_CsZnPt
_symmetry_space_group_name_H-M 'F -4 3 m'
_symmetry_Int_Tables_number 216
_symmetry_space_group_name_Hall 'F -4 2 3'
_cell_length_a 7.202
_cell_length_b 7.202
_cell_length_c 7.202
_cell_angle_alpha 90.00
_cell_angle_beta 90.00
_cell_angle_gamma 90.00
loop_
_atom_site_label
_atom_site_type_symbol
_atom_site_fract_x
_atom_site_fract_y
_atom_site_fract_z
Cs1 Cs 0.000 0.000 0.000
Zn1 Zn 0.000 0.000 0.500
Pt1 Pt 0.250 0.250 0.250
```

---

No. 4
# DyErNi8B2

A geometry-optimized DyErNi8B2 structure (PBE, OQMD via LeMat-Bulk).

Output
The value obtained for the electronic total energy is -73.03 eV per cell. The crystal system is hexagonal. The energy above the most stable polymorph in this dataset is 7 meV/atom.

CIF file:
```
data_DyErNi8B2
_symmetry_space_group_name_H-M 'P 6/m m m'
_symmetry_Int_Tables_number 191
_symmetry_space_group_name_Hall '-P 6 2'
_cell_length_a 4.9690
_cell_length_b 4.9690
_cell_length_c 6.9706
_cell_angle_alpha 90.00
_cell_angle_beta 90.00
_cell_angle_gamma 120.00
loop_
_atom_site_label
_atom_site_type_symbol
_atom_site_fract_x
_atom_site_fract_y
_atom_site_fract_z
Dy1 Dy 0.0000 0.0000 0.0000
Er1 Er 0.0000 0.0000 0.5000
Ni1 Ni 0.0000 0.5000 0.2083
Ni2 Ni 0.3333 0.6667 0.5000
B1 B 0.3333 0.6667 0.0000
```

---

No. 5
# SrTb2Al7Ag2

A geometry-optimized SrTb2Al7Ag2 structure (PBE, OQMD via LeMat-Bulk).

Output
The value obtained for the electronic total energy is -143.82 eV per cell. The crystal system is trigonal.

CIF file:
```
data_SrTb2Al7Ag2
_symmetry_space_group_name_H-M 'R -3 m'
_symmetry_Int_Tables_number 166
_symmetry_space_group_name_Hall '-R 3 2"'
_cell_length_a 5.6298
_cell_length_b 5.6298
_cell_length_c 26.5964
_cell_angle_alpha 90.00
_cell_angle_beta 90.00
_cell_angle_gamma 120.00
loop_
_atom_site_label
_atom_site_type_symbol
_atom_site_fract_x
_atom_site_fract_y
_atom_site_fract_z
Sr1 Sr 0.0000 0.0000 0.0000
Tb1 Tb 0.0000 0.0000 0.1428
Al1 Al 0.0000 0.0000 0.5000
Al2 Al 0.0089 0.5045 0.9154
Ag1 Ag 0.0000 0.0000 0.3359
```

---

No. 6
# Rb2LaHoO4

A geometry-optimized Rb2LaHoO4 structure (PBE, OQMD via LeMat-Bulk).

Output
The value obtained for the electronic total energy is -52.28 eV per cell. The crystal system is trigonal.

CIF file:
```
data_Rb2LaHoO4
_symmetry_space_group_name_H-M 'P -3 m 1'
_symmetry_Int_Tables_number 164
_symmetry_space_group_name_Hall '-P 3 2"'
_cell_length_a 3.5769
_cell_length_b 3.5769
_cell_length_c 12.9702
_cell_angle_alpha 90.00
_cell_angle_beta 90.00
_cell_angle_gamma 120.00
loop_
_atom_site_label
_atom_site_type_symbol
_atom_site_fract_x
_atom_site_fract_y
_atom_site_fract_z
Rb1 Rb 0.3333 0.6667 0.2563
La1 La 0.0000 0.0000 0.0000
Ho1 Ho 0.0000 0.0000 0.5000
O1 O 0.3333 0.6667 0.5850
O2 O 0.3333 0.6667 0.9034
```

---

No. 7
# Co4SnAsC2

A geometry-optimized Co4SnAsC2 structure (PBE, OQMD via LeMat-Bulk).

Output
The value obtained for the electronic total energy is -53.87 eV per cell. The crystal system is hexagonal.

CIF file:
```
data_Co4SnAsC2
_symmetry_space_group_name_H-M 'P -6 m 2'
_symmetry_Int_Tables_number 187
_symmetry_space_group_name_Hall 'P -6 2'
_cell_length_a 3.0184
_cell_length_b 3.0184
_cell_length_c 11.7702
_cell_angle_alpha 90.00
_cell_angle_beta 90.00
_cell_angle_gamma 120.00
loop_
_atom_site_label
_atom_site_type_symbol
_atom_site_fract_x
_atom_site_fract_y
_atom_site_fract_z
Co1 Co 0.0000 0.0000 0.1560
Co2 Co 0.6667 0.3333 0.3087
Sn1 Sn 0.0000 0.0000 0.5000
As1 As 0.6667 0.3333 0.0000
C1 C 0.3333 0.6667 0.2366
```

---

No. 8
# Nb4SnPC2

A geometry-optimized Nb4SnPC2 structure (PBE, OQMD via LeMat-Bulk).

Output
The value obtained for the electronic total energy is -73.02 eV per cell. The crystal system is hexagonal.

CIF file:
```
data_Nb4SnPC2
_symmetry_space_group_name_H-M 'P -6 m 2'
_symmetry_Int_Tables_number 187
_symmetry_space_group_name_Hall 'P -6 2'
_cell_length_a 3.2856
_cell_length_b 3.2856
_cell_length_c 12.8104
_cell_angle_alpha 90.00
_cell_angle_beta 90.00
_cell_angle_gamma 120.00
loop_
_atom_site_label
_atom_site_type_symbol
_atom_site_fract_x
_atom_site_fract_y
_atom_site_fract_z
Nb1 Nb 0.0000 0.0000 0.1359
Nb2 Nb 0.6667 0.3333 0.3176
Sn1 Sn 0.0000 0.0000 0.5000
P1 P 0.6667 0.3333 0.0000
C1 C 0.3333 0.6667 0.2312
```

---

No. 9
# In2AsPd2

A geometry-optimized In2AsPd2 structure (PBE, OQMD via LeMat-Bulk).

Output
The value obtained for the electronic total energy is -41.34 eV per cell. The crystal system is tetragonal.

CIF file:
```
data_In2AsPd2
_symmetry_space_group_name_H-M 'I 4/m m m'
_symmetry_Int_Tables_number 139
_symmetry_space_group_name_Hall '-I 4 2'
_cell_length_a 4.008
_cell_length_b 4.008
_cell_length_c 12.854
_cell_angle_alpha 90.00
_cell_angle_beta 90.00
_cell_angle_gamma 90.00
loop_
_atom_site_label
_atom_site_type_symbol
_atom_site_fract_x
_atom_site_fract_y
_atom_site_fract_z
In1 In 0.000 0.000 0.109
As1 As 0.000 0.000 0.500
Pd1 Pd 0.000 0.500 0.250
```

---

No. 10
# YNb2Re

A geometry-optimized YNb2Re structure (PBE, OQMD via LeMat-Bulk).

Output
The value obtained for the electronic total energy is -151.85 eV per cell. The crystal system is cubic. The value obtained for the formation enthalpy at 0 K is 0.278 eV per atom.

CIF file:
```
data_YNb2Re
_symmetry_space_group_name_H-M 'F -4 3 m'
_symmetry_Int_Tables_number 216
_symmetry_space_group_name_Hall 'F -4 2 3'
_cell_length_a 6.724
_cell_length_b 6.724
_cell_length_c 6.724
_cell_angle_alpha 90.00
_cell_angle_beta 90.00
_cell_angle_gamma 90.00
loop_
_atom_site_label
_atom_site_type_symbol
_atom_site_fract_x
_atom_site_fract_y
_atom_site_fract_z
Y1 Y 0.000 0.000 0.000
Nb1 Nb 0.000 0.000 0.500
Nb2 Nb 0.250 0.250 0.750
Re1 Re 0.250 0.250 0.250
```

---

No. 11
# LaSmPO

A geometry-optimized LaSmPO structure (PBE, OQMD via LeMat-Bulk).

Output
The value obtained for the electronic total energy is -55.69 eV per cell. The crystal system is tetragonal. The energy above the most stable polymorph in this dataset is 48 meV/atom.

CIF file:
```
data_LaSmPO
_symmetry_space_group_name_H-M 'P 4/n m m'
_symmetry_Int_Tables_number 129
_cell_length_a 4.450
_cell_length_b 4.450
_cell_length_c 9.146
_cell_angle_alpha 90.00
_cell_angle_beta 90.00
_cell_angle_gamma 90.00
loop_
_symmetry_equiv_pos_as_xyz
'x,y,z'
'-x,-y,-z'
'-y+1/2,x,z'
'y+1/2,-x,-z'
'-x+1/2,-y+1/2,z'
'x+1/2,y+1/2,-z'
'y,-x+1/2,z'
'-y,x+1/2,-z'
'x+1/2,-y,-z'
'-x+1/2,y,z'
'-y,-x,-z'
'y,x,z'
'-x,y+1/2,-z'
'x,-y+1/2,z'
'y+1/2,x+1/2,-z'
'-y+1/2,-x+1/2,z'
loop_
_atom_site_label
_atom_site_type_symbol
_atom_site_fract_x
_atom_site_fract_y
_atom_site_fract_z
La1 La 0.250 0.250 0.110
Sm1 Sm 0.250 0.750 0.500
P1 P 0.250 0.250 0.692
O1 O 0.250 0.750 0.000
```

---

No. 12
# ScTl2AgCl6

A geometry-optimized ScTl2AgCl6 structure (PBE, OQMD via LeMat-Bulk).

Output
The value obtained for the electronic total energy is -77.06 eV per cell. The crystal system is tetragonal.

CIF file:
```
data_ScTl2AgCl6
_symmetry_space_group_name_H-M 'I 4/m'
_symmetry_Int_Tables_number 87
_symmetry_space_group_name_Hall '-I 4'
_cell_length_a 7.127
_cell_length_b 7.127
_cell_length_c 10.707
_cell_angle_alpha 90.00
_cell_angle_beta 90.00
_cell_angle_gamma 90.00
loop_
_atom_site_label
_atom_site_type_symbol
_atom_site_fract_x
_atom_site_fract_y
_atom_site_fract_z
Sc1 Sc 0.000 0.000 0.000
Tl1 Tl 0.000 0.500 0.250
Ag1 Ag 0.000 0.000 0.500
Cl1 Cl 0.000 0.000 0.235
Cl2 Cl 0.176 0.303 0.000
```

---

No. 13
# MgNbCuPb

A geometry-optimized MgNbCuPb structure (PBE, OQMD via LeMat-Bulk).

Output
The value obtained for the electronic total energy is -67.32 eV per cell. The crystal system is cubic. The energy above the most stable polymorph in this dataset is 54 meV/atom.

CIF file:
```
data_MgNbCuPb
_symmetry_space_group_name_H-M 'F -4 3 m'
_symmetry_Int_Tables_number 216
_symmetry_space_group_name_Hall 'F -4 2 3'
_cell_length_a 6.772
_cell_length_b 6.772
_cell_length_c 6.772
_cell_angle_alpha 90.00
_cell_angle_beta 90.00
_cell_angle_gamma 90.00
loop_
_atom_site_label
_atom_site_type_symbol
_atom_site_fract_x
_atom_site_fract_y
_atom_site_fract_z
Mg1 Mg 0.000 0.000 0.000
Nb1 Nb 0.250 0.250 0.250
Cu1 Cu 0.000 0.000 0.500
Pb1 Pb 0.250 0.250 0.750
```

---

No. 14
# HfBSb2

A geometry-optimized HfBSb2 structure (PBE, OQMD via LeMat-Bulk).

Output
The value obtained for the electronic total energy is -84.69 eV per cell. The crystal system is cubic.

CIF file:
```
data_HfBSb2
_symmetry_space_group_name_H-M 'F -4 3 m'
_symmetry_Int_Tables_number 216
_symmetry_space_group_name_Hall 'F -4 2 3'
_cell_length_a 6.937
_cell_length_b 6.937
_cell_length_c 6.937
_cell_angle_alpha 90.00
_cell_angle_beta 90.00
_cell_angle_gamma 90.00
loop_
_atom_site_label
_atom_site_type_symbol
_atom_site_fract_x
_atom_site_fract_y
_atom_site_fract_z
Hf1 Hf 0.000 0.000 0.000
B1 B 0.250 0.250 0.750
Sb1 Sb 0.000 0.000 0.500
Sb2 Sb 0.250 0.250 0.250
```

---

No. 15
# Nd3Mg3TlIn2

A geometry-optimized Nd3Mg3TlIn2 structure (PBE, OQMD via LeMat-Bulk).

Output
The value obtained for the electronic total energy is -30.38 eV per cell. The crystal system is hexagonal.

CIF file:
```
data_Nd3Mg3TlIn2
_symmetry_space_group_name_H-M 'P -6 2 m'
_symmetry_Int_Tables_number 189
_symmetry_space_group_name_Hall 'P -6 -2'
_cell_length_a 7.7106
_cell_length_b 7.7106
_cell_length_c 4.7559
_cell_angle_alpha 90.00
_cell_angle_beta 90.00
_cell_angle_gamma 120.00
loop_
_atom_site_label
_atom_site_type_symbol
_atom_site_fract_x
_atom_site_fract_y
_atom_site_fract_z
Nd1 Nd 0.0000 0.5714 0.0000
Mg1 Mg 0.0000 0.2430 0.5000
Tl1 Tl 0.0000 0.0000 0.0000
In1 In 0.3333 0.6667 0.5000
```